GGA+U VO2, relaxed; magnetization = 6.0 μB per cell; symmetry = No. 2; total energy = -7.725 eV/atom
1.0
-4.001 -1.126 3.809
4.149 -0.668 4.575
-0.639 6.087 0.696
O V
12 6
direct
0.306 0.882 0.110
0.937 0.024 0.304
0.061 0.309 0.027
0.063 0.970 0.690
0.584 0.468 0.186
0.213 0.614 0.382
0.585 0.809 0.525
0.787 0.379 0.612
0.694 0.112 0.884
0.939 0.685 0.967
0.415 0.185 0.469
0.416 0.526 0.807
0.248 0.571 0.050
0.752 0.422 0.944
0.000 0.997 0.997
0.500 0.497 0.497
0.250 0.942 0.419
0.750 0.051 0.575